## Tm2ThAlAu4 (GGA-PBE)

Data for crystalline Tm2ThAlAu4 at its relaxed geometry.

```
Tm2ThAlAu4
1.0
-0.9980 3.3574 -3.3940
-2.7525 -1.1702 -3.8526
-8.3623 3.0415 1.9633
Au Al Tm Th
4 1 2 1
direct
0.6089 0.6089 0.1732 Au
0.3911 0.3911 0.8268 Au
0.1227 0.1227 0.6319 Au
0.8773 0.8773 0.3681 Au
0.5000 0.5000 0.5000 Al
0.2373 0.2373 0.2881 Tm
0.7627 0.7627 0.7119 Tm
0.0000 0.0000 0.0000 Th
```

Calculated values
mass density = 12.88 g cm⁻³
energy of formation = -5.45 eV/f.u.
space group = R-3m, No. 166
volume = 178.5 Å³/cell
Fermi-level density of states = 5.614 states/eV/f.u.
raw total energy = -4.83 eV/atom

---

## YThAlAu (GGA-PBE)

Data for crystalline YThAlAu at its relaxed geometry.

```
YThAlAu
1.0
5.2276 0.0000 0.0000
2.6138 4.5272 0.0000
2.6138 1.5091 4.2683
Y Al Th Au
1 1 1 1
direct
0.0000 0.0000 0.0000 Y
0.2500 0.2500 0.2500 Al
0.5000 0.5000 0.5000 Th
0.7500 0.7500 0.7500 Au
```

Calculated values
mass density = 8.96 g cm⁻³
energy of formation = -1.71 eV/f.u.
space group = F-43m, No. 216
volume = 101.0 Å³/cell
Fermi-level density of states = 4.610 states/eV/f.u.
raw total energy = -5.65 eV/atom

---

## ThAl2ZnAu5 (GGA-PBE)

Data for crystalline ThAl2ZnAu5 at its relaxed geometry.

```
ThAl2ZnAu5
1.0
4.9059 0.0000 0.0000
0.0000 4.9059 0.0000
0.0000 0.0000 7.7759
Au Th Zn Al
5 1 1 2
direct
0.5000 0.0000 0.7480 Au
0.5000 0.5000 0.5000 Au
0.0000 0.5000 0.7480 Au
0.5000 0.0000 0.2520 Au
0.0000 0.5000 0.2520 Au
0.0000 0.0000 0.5000 Th
0.0000 0.0000 0.0000 Zn
0.5000 0.5000 0.1619 Al
0.5000 0.5000 0.8381 Al
```

Calculated values
mass density = 11.86 g cm⁻³
energy of formation = -2.53 eV/f.u.
space group = P4/mmm, No. 123
volume = 187.1 Å³/cell
Fermi-level density of states = 5.141 states/eV/f.u.
raw total energy = -3.90 eV/atom

---

## Th3AlZn6Au2 (GGA-PBE)

Data for crystalline Th3AlZn6Au2 at its relaxed geometry.

```
Th3AlZn6Au2
1.0
5.4762 0.0000 0.0000
-2.7381 4.7425 0.0000
0.0000 0.0000 9.9916
Zn Th Au Al
6 3 2 1
direct
0.8331 0.1669 0.7250 Zn
0.8331 0.6662 0.7250 Zn
0.3338 0.1669 0.7250 Zn
0.6662 0.8331 0.2750 Zn
0.1669 0.8331 0.2750 Zn
0.1669 0.3338 0.2750 Zn
0.0000 0.0000 0.0000 Th
0.3333 0.6667 0.5682 Th
0.6667 0.3333 0.4318 Th
0.3333 0.6667 0.0506 Au
0.6667 0.3333 0.9494 Au
0.0000 0.0000 0.5000 Al
```

Calculated values
mass density = 9.66 g cm⁻³
energy of formation = -2.27 eV/f.u.
space group = P-3m1, No. 164
volume = 259.5 Å³/cell
Fermi-level density of states = 7.302 states/eV/f.u.
raw total energy = -3.54 eV/atom

---

## ThAl2ZnAu (GGA-PBE)

Data for crystalline ThAl2ZnAu at its relaxed geometry.

```
ThAl2ZnAu
1.0
4.3377 0.0000 0.0000
0.0000 4.3377 0.0000
-2.1689 -2.1689 5.3216
Th Zn Au Al
1 1 1 2
direct
0.0000 0.0000 0.0000 Th
0.2500 0.7500 0.5000 Zn
0.7500 0.2500 0.5000 Au
0.3808 0.3808 0.7615 Al
0.6192 0.6192 0.2385 Al
```

Calculated values
mass density = 9.09 g cm⁻³
energy of formation = -2.62 eV/f.u.
space group = I-4m2, No. 119
volume = 100.1 Å³/cell
Fermi-level density of states = 1.268 states/eV/f.u.
raw total energy = -4.41 eV/atom

---

## ThAl3ZnAu (GGA-PBE)

Data for crystalline ThAl3ZnAu at its relaxed geometry.

```
ThAl3ZnAu
1.0
5.9795 0.0000 0.0000
0.0000 6.4048 0.0000
0.0000 -3.2024 6.3843
Al Th Zn Au
6 2 2 2
direct
0.2500 0.1339 0.2679 Al
0.0000 0.7031 0.0000 Al
0.5000 0.2969 0.0000 Al
0.5000 0.7031 0.0000 Al
0.7500 0.8661 0.7321 Al
0.0000 0.2969 0.0000 Al
0.7500 0.2962 0.5925 Th
0.2500 0.7038 0.4075 Th
0.7500 0.0746 0.1492 Zn
0.2500 0.9254 0.8508 Zn
0.2500 0.3416 0.6833 Au
0.7500 0.6584 0.3167 Au
```

Calculated values
mass density = 7.82 g cm⁻³
energy of formation = -0.82 eV/f.u.
space group = Cmcm, No. 63
volume = 244.5 Å³/cell
Fermi-level density of states = 2.740 states/eV/f.u.
raw total energy = -4.00 eV/atom

---

Copy entry 2 word for word.
## YThAlAu (GGA-PBE)

Data for crystalline YThAlAu at its relaxed geometry.

```
YThAlAu
1.0
5.2276 0.0000 0.0000
2.6138 4.5272 0.0000
2.6138 1.5091 4.2683
Y Al Th Au
1 1 1 1
direct
0.0000 0.0000 0.0000 Y
0.2500 0.2500 0.2500 Al
0.5000 0.5000 0.5000 Th
0.7500 0.7500 0.7500 Au
```

Calculated values
mass density = 8.96 g cm⁻³
energy of formation = -1.71 eV/f.u.
space group = F-43m, No. 216
volume = 101.0 Å³/cell
Fermi-level density of states = 4.610 states/eV/f.u.
raw total energy = -5.65 eV/atom